No. 1
The following is a DFT calculation (PBE-GGA) of a relaxed Cr2MoN4 crystal.

Results
As for the formation energy from raw total energies: 0.38 eV per atom. The total magnetization comes out at 4.85 μB per formula unit.

Cell lengths 3.996, 3.996, 5.816 Å; angles 69.90, 69.90, 90.00 degrees
Site moments in Bohr magnetons follow the coordinates.
Fractional coordinates of all 7 atoms:
N  0.500  0.000  0.000  -0.10
N  0.203  0.203  0.594  -0.32
N  0.000  0.500  0.000  -0.10
N  0.797  0.797  0.406  -0.32
Cr  0.631  0.631  0.738  2.62
Cr  0.369  0.369  0.262  2.62
Mo  0.000  0.000  0.000  0.25



No. 2
The following is a DFT calculation (PBE-GGA) of a relaxed Cr2MoN crystal.

Results
As for the formation energy from raw total energies: -0.10 eV per atom. The total magnetization comes out at 0.00 μB per formula unit.

Cell lengths 2.746, 4.504, 7.422 Å; angles 90.00, 90.00, 107.75 degrees
Fractional coordinates of all 8 atoms:
Cr  0.639  0.277  0.424
Cr  0.361  0.723  0.924
Cr  0.639  0.277  0.076
Cr  0.361  0.723  0.576
N  0.212  0.423  0.250
N  0.788  0.577  0.750
Mo  0.911  0.821  0.250
Mo  0.089  0.179  0.750



No. 3
The following is a DFT calculation (PBE-GGA) of a relaxed Cr2MoN crystal.

Results
As for the formation energy from raw total energies: -0.01 eV per atom. The total magnetization comes out at 0.00 μB per formula unit.

Cell lengths 6.530, 6.530, 5.110 Å; angles 50.29, 50.29, 90.00 degrees
Fractional coordinates of all 8 atoms:
Cr  0.507  0.125  0.250
Cr  0.375  0.493  0.750
Cr  0.875  0.757  0.750
Cr  0.243  0.625  0.250
Mo  0.000  0.000  0.000
Mo  0.750  0.250  0.500
N  0.250  0.750  0.500
N  0.500  0.500  0.000



No. 4
The following is a DFT calculation (PBE-GGA) of a relaxed Cr2MoN crystal.

Results
As for the formation energy from raw total energies: 0.98 eV per atom. The total magnetization comes out at 0.00 μB per formula unit.

Cell lengths 3.954, 3.954, 5.618 Å; angles 69.39, 69.39, 60.00 degrees
Fractional coordinates of all 4 atoms:
Cr  0.888  0.888  0.335
Cr  0.112  0.112  0.665
N  0.000  0.000  0.000
Mo  0.500  0.500  0.500



What did the second record say?
The following is a DFT calculation (PBE-GGA) of a relaxed Cr2MoN crystal.

Results
As for the formation energy from raw total energies: -0.10 eV per atom. The total magnetization comes out at 0.00 μB per formula unit.

Cell lengths 2.746, 4.504, 7.422 Å; angles 90.00, 90.00, 107.75 degrees
Fractional coordinates of all 8 atoms:
Cr  0.639  0.277  0.424
Cr  0.361  0.723  0.924
Cr  0.639  0.277  0.076
Cr  0.361  0.723  0.576
N  0.212  0.423  0.250
N  0.788  0.577  0.750
Mo  0.911  0.821  0.250
Mo  0.089  0.179  0.750



Repeat the first record exactly.
The following is a DFT calculation (PBE-GGA) of a relaxed Cr2MoN4 crystal.

Results
As for the formation energy from raw total energies: 0.38 eV per atom. The total magnetization comes out at 4.85 μB per formula unit.

Cell lengths 3.996, 3.996, 5.816 Å; angles 69.90, 69.90, 90.00 degrees
Site moments in Bohr magnetons follow the coordinates.
Fractional coordinates of all 7 atoms:
N  0.500  0.000  0.000  -0.10
N  0.203  0.203  0.594  -0.32
N  0.000  0.500  0.000  -0.10
N  0.797  0.797  0.406  -0.32
Cr  0.631  0.631  0.738  2.62
Cr  0.369  0.369  0.262  2.62
Mo  0.000  0.000  0.000  0.25



Q: Among the records above, which one has the lowest formation energy from raw total energies?
A: number 2



Repeat the first record exactly.
The following is a DFT calculation (PBE-GGA) of a relaxed Cr2MoN4 crystal.

Results
As for the formation energy from raw total energies: 0.38 eV per atom. The total magnetization comes out at 4.85 μB per formula unit.

Cell lengths 3.996, 3.996, 5.816 Å; angles 69.90, 69.90, 90.00 degrees
Site moments in Bohr magnetons follow the coordinates.
Fractional coordinates of all 7 atoms:
N  0.500  0.000  0.000  -0.10
N  0.203  0.203  0.594  -0.32
N  0.000  0.500  0.000  -0.10
N  0.797  0.797  0.406  -0.32
Cr  0.631  0.631  0.738  2.62
Cr  0.369  0.369  0.262  2.62
Mo  0.000  0.000  0.000  0.25